(a)
Zn4Cu2Ir | PBE-GGA | optimized geometry

The density is 9451 kg/m³.

The structure belongs to space group I-42d (No. 122); the cell edges are 7.426, 7.426 and 7.404 Å and the angles 90.00°, 90.00° and 90.00°. The asymmetric unit holds Zn at (0.082, 0.666, 0.454), Cu at (0.124, 0.750, 0.125) and Ir at (0.000, 0.000, 0.500).

---

(b)
Zn4Cu2Ir | PBE-GGA | optimized geometry

The density is 9835 kg/m³.

The structure belongs to space group Cmcm (No. 63); the cell edges are 4.280, 7.407 and 12.377 Å and the angles 90.00°, 90.00° and 90.00°. The asymmetric unit holds Zn at (0.000, 0.000, 0.000), Zn at (0.000, 0.333, 0.145), Zn at (0.000, 0.334, 0.750), Cu at (0.000, 0.333, 0.553) and Ir at (0.000, 0.001, 0.750).

---

Which of them is most stable? Easy: (b).

---

(a)
ZnCuIr | PBE-GGA | optimized geometry

The density is 12549 kg/m³.

The structure belongs to space group C2/m (No. 12); the cell edges are 9.765, 2.711 and 7.150 Å and the angles 90.00°, 116.07° and 90.00°. The asymmetric unit holds Zn at (0.120, 0.000, 0.190), Cu at (0.125, 0.500, 0.495) and Ir at (0.130, 0.500, 0.866).

---

(b)
ZnCuIr | PBE-GGA | optimized geometry

The density is 12886 kg/m³.

The structure belongs to space group Fmm2 (No. 42); the cell edges are 2.824, 4.558 and 12.861 Å and the angles 90.00°, 90.00° and 90.00°. The asymmetric unit holds Zn at (0.000, 0.000, 0.000), Cu at (0.000, 0.000, 0.661) and Ir at (0.000, 0.000, 0.331).

---

Which of them is most stable? Easy: (b).